Material: TlGaSiAu2
Method: DFT, PBE-GGA
State: relaxed

a b c (Å): 4.997 4.877 4.997
angles (deg): 90.00 90.00 90.00
Atoms (fractional coordinates):
Tl 0.500 0.500 0.500
Au 0.000 0.000 0.500
Au 0.500 0.000 0.000
Ga 0.000 0.000 0.000
Si 0.000 0.500 0.000

Summary:
E_form (uncorrected) = 358 meV/atom
Space group = P4/mmm (123)
Mass density = 9.5 Mg/m³
Volume = 24.4 Å³/atom

Material: Sm3GaAu
Method: DFT, PBE-GGA
State: relaxed

a b c (Å): 4.665 6.321 10.031
angles (deg): 97.76 90.15 111.63
Atoms (fractional coordinates):
Sm 0.854 0.706 0.793
Sm 0.149 0.297 0.595
Sm 0.146 0.294 0.207
Sm 0.570 0.136 0.857
Sm 0.430 0.864 0.143
Sm 0.851 0.703 0.405
Ga 0.763 0.529 0.090
Ga 0.237 0.471 0.910
Au 0.586 0.172 0.405
Au 0.414 0.828 0.595

Summary:
Space group = P-1 (2)
Mass density = 8.8 Mg/m³
Volume = 27.2 Å³/atom
ΔH_f (0 K) = -498.1 meV per atom

Material: SmGaAu2
Method: DFT, PBE-GGA
State: relaxed

a b c (Å): 4.124 4.566 4.566
angles (deg): 90.00 90.00 90.00
Atoms (fractional coordinates):
Au 0.000 0.000 0.500
Au 0.000 0.500 0.000
Sm 0.500 0.500 0.500
Ga 0.500 0.000 0.000

Summary:
Space group = P4/mmm (123)
Mass density = 11.9 Mg/m³
Volume = 21.5 Å³/atom
ΔH_f (0 K) = -528.8 meV per atom

Material: SmGa3Au
Method: DFT, PBE-GGA
State: relaxed

a b c (Å): 4.267 4.267 6.301
angles (deg): 70.21 70.21 90.00
Atoms (fractional coordinates):
Ga 0.752 0.252 0.497
Ga 0.252 0.752 0.497
Ga 0.393 0.393 0.214
Sm 0.986 0.986 0.028
Au 0.618 0.618 0.764

Summary:
Space group = I4mm (107)
Mass density = 9.2 Mg/m³
Relative energy among the computed polymorphs = 0.0 meV per atom
Volume = 20.1 Å³/atom
ΔH_f (0 K) = -582.9 meV per atom

Material: Sm3Ga7Au2
Method: DFT, PBE-GGA
State: relaxed

a b c (Å): 4.296 4.304 13.782
angles (deg): 98.93 90.00 90.00
Atoms (fractional coordinates):
Ga 0.000 0.421 0.840
Ga 0.500 0.273 0.546
Ga 0.500 0.080 0.161
Ga 0.000 0.000 0.000
Ga 0.500 0.920 0.839
Ga 0.000 0.579 0.160
Ga 0.500 0.727 0.454
Sm 0.000 0.816 0.631
Sm 0.500 0.500 0.000
Sm 0.000 0.184 0.369
Au 0.500 0.634 0.269
Au 0.500 0.366 0.731

Summary:
Space group = P2/m (10)
Mass density = 8.8 Mg/m³
Volume = 21.0 Å³/atom
ΔH_f (0 K) = -600.6 meV per atom

Material: SmGa2Au
Method: DFT, PBE-GGA
State: relaxed

a b c (Å): 4.355 4.364 4.364
angles (deg): 90.00 90.00 90.00
Atoms (fractional coordinates):
Au 0.500 0.000 0.000
Ga 0.000 0.000 0.500
Ga 0.000 0.500 0.000
Sm 0.500 0.500 0.500

Summary:
Space group = P4/mmm (123)
Mass density = 9.7 Mg/m³
Volume = 20.7 Å³/atom
ΔH_f (0 K) = -548.3 meV per atom

Material: SmGaAu
Method: DFT, PBE-GGA
State: relaxed

a b c (Å): 4.542 5.925 5.785
angles (deg): 77.59 66.89 67.46
Atoms (fractional coordinates):
Au 0.177 0.783 0.864
Au 0.823 0.217 0.136
Ga 0.157 0.397 0.289
Ga 0.843 0.603 0.711
Sm 0.462 0.799 0.276
Sm 0.538 0.201 0.724

Summary:
Space group = C2/m (12)
Mass density = 10.5 Mg/m³
Volume = 22.0 Å³/atom
ΔH_f (0 K) = -778.6 meV per atom

Material: Sm4Ga2Au5
Method: DFT, PBE-GGA
State: relaxed

a b c (Å): 3.866 7.560 8.854
angles (deg): 87.36 90.00 90.00
Atoms (fractional coordinates):
Au 0.000 0.134 0.125
Au 0.000 0.407 0.643
Au 0.000 0.593 0.357
Au 0.000 0.866 0.875
Au 0.000 0.500 0.000
Sm 0.500 0.780 0.133
Sm 0.500 0.730 0.622
Sm 0.500 0.270 0.378
Sm 0.500 0.220 0.867
Ga 0.000 0.063 0.625
Ga 0.000 0.937 0.375

Summary:
Space group = P2/m (10)
Mass density = 11.1 Mg/m³
Volume = 23.5 Å³/atom
ΔH_f (0 K) = -719.5 meV per atom

Material: SmGa2Au
Method: DFT, PBE-GGA
State: relaxed

a b c (Å): 4.372 4.372 5.693
angles (deg): 67.42 67.42 60.00
Atoms (fractional coordinates):
Au 0.500 0.500 0.500
Ga 0.779 0.779 0.662
Ga 0.221 0.221 0.338
Sm 0.000 0.000 0.000

Summary:
Space group = R-3m (166)
Mass density = 9.6 Mg/m³
Volume = 21.1 Å³/atom
ΔH_f (0 K) = -602.9 meV per atom

Material: SmGa2Au
Method: DFT, PBE-GGA
State: relaxed

a b c (Å): 5.922 6.814 8.264
angles (deg): 90.00 90.00 90.00
Atoms (fractional coordinates):
Ga 0.099 0.949 0.798
Ga 0.599 0.449 0.702
Ga 0.401 0.551 0.298
Ga 0.401 0.949 0.298
Ga 0.901 0.051 0.202
Ga 0.901 0.449 0.202
Ga 0.099 0.551 0.798
Ga 0.599 0.051 0.702
Au 0.144 0.750 0.074
Au 0.644 0.250 0.426
Au 0.356 0.750 0.574
Au 0.856 0.250 0.926
Sm 0.141 0.250 0.531
Sm 0.641 0.750 0.969
Sm 0.859 0.750 0.469
Sm 0.359 0.250 0.031

Summary:
Space group = Pnma (62)
Mass density = 9.7 Mg/m³
Volume = 20.8 Å³/atom
ΔH_f (0 K) = -587.4 meV per atom

Material: Sm2Ga3Au5
Method: DFT, PBE-GGA
State: relaxed

a b c (Å): 4.566 7.208 12.556
angles (deg): 90.00 100.48 90.00
Atoms (fractional coordinates):
Au 0.396 0.437 0.791
Au 0.604 0.937 0.209
Au 0.699 0.426 0.399
Au 0.051 0.549 0.102
Au 0.880 0.724 0.761
Au 0.285 0.521 0.570
Au 0.301 0.926 0.601
Au 0.715 0.021 0.430
Au 0.949 0.049 0.898
Au 0.120 0.224 0.239
Ga 0.228 0.218 0.455
Ga 0.051 0.935 0.102
Ga 0.772 0.718 0.545
Ga 0.949 0.435 0.898
Ga 0.397 0.066 0.794
Ga 0.603 0.566 0.206
Sm 0.520 0.245 0.039
Sm 0.825 0.244 0.650
Sm 0.480 0.745 0.961
Sm 0.175 0.744 0.350

Summary:
Space group = Cmc2_1 (36)
Mass density = 12.2 Mg/m³
Relative energy among the computed polymorphs = 0.0 meV per atom
Volume = 20.3 Å³/atom
ΔH_f (0 K) = -600.3 meV per atom

Material: Sm2Ga12Au
Method: DFT, PBE-GGA
State: relaxed

a b c (Å): 6.235 6.235 15.377
angles (deg): 90.00 90.00 90.00
Atoms (fractional coordinates):
Sm 0.500 0.000 0.751
Sm 0.500 0.000 0.249
Sm 0.000 0.500 0.751
Sm 0.000 0.500 0.249
Ga 0.832 0.668 0.431
Ga 0.750 0.250 0.906
Ga 0.750 0.750 0.094
Ga 0.832 0.332 0.569
Ga 0.000 0.000 0.653
Ga 0.000 0.000 0.187
Ga 0.668 0.832 0.569
Ga 0.250 0.750 0.094
Ga 0.500 0.500 0.653
Ga 0.250 0.250 0.094
Ga 0.750 0.250 0.094
Ga 0.668 0.168 0.431
Ga 0.500 0.500 0.347
Ga 0.168 0.668 0.569
Ga 0.500 0.500 0.813
Ga 0.250 0.250 0.906
Ga 0.332 0.832 0.431
Ga 0.000 0.000 0.813
Ga 0.250 0.750 0.906
Ga 0.332 0.168 0.569
Ga 0.168 0.332 0.431
Ga 0.750 0.750 0.906
Ga 0.500 0.500 0.187
Ga 0.000 0.000 0.347
Au 0.500 0.000 0.000
Au 0.000 0.500 0.000

Summary:
Space group = P4/nbm (125)
Mass density = 7.4 Mg/m³
Volume = 19.9 Å³/atom
ΔH_f (0 K) = -340.8 meV per atom

Material: SmGaAu
Method: DFT, PBE-GGA
State: relaxed

a b c (Å): 6.012 6.012 8.586
angles (deg): 90.00 90.00 95.16
Atoms (fractional coordinates):
Ga 0.096 0.096 0.305
Ga 0.904 0.904 0.695
Ga 0.596 0.596 0.195
Ga 0.404 0.404 0.805
Au 0.704 0.704 0.910
Au 0.296 0.296 0.090
Au 0.204 0.204 0.590
Au 0.796 0.796 0.410
Sm 0.293 0.707 0.500
Sm 0.707 0.293 0.500
Sm 0.793 0.207 0.000
Sm 0.207 0.793 0.000

Summary:
Space group = Cmce (64)
Mass density = 9.0 Mg/m³
Volume = 25.8 Å³/atom
ΔH_f (0 K) = -434.2 meV per atom

Material: SmGaAu
Method: DFT, PBE-GGA
State: relaxed

a b c (Å): 3.463 3.463 5.979
angles (deg): 106.83 106.83 90.00
Atoms (fractional coordinates):
Sm 0.948 0.948 0.896
Ga 0.636 0.636 0.273
Au 0.266 0.266 0.531

Summary:
Space group = I4mm (107)
Mass density = 10.6 Mg/m³
Volume = 21.8 Å³/atom
ΔH_f (0 K) = -538.6 meV per atom

Material: SmGaAu4
Method: DFT, PBE-GGA
State: relaxed

a b c (Å): 5.286 5.287 10.139
angles (deg): 110.35 110.30 89.30
Atoms (fractional coordinates):
Au 0.128 0.628 0.814
Au 0.468 0.469 0.348
Au 0.032 0.031 0.652
Au 0.872 0.372 0.186
Au 0.628 0.128 0.814
Au 0.532 0.531 0.652
Au 0.372 0.872 0.186
Au 0.968 0.969 0.348
Sm 0.750 0.750 0.000
Sm 0.250 0.250 0.000
Ga 0.500 0.000 0.500
Ga 0.000 0.500 0.500

Summary:
Space group = P2/m (10)
Mass density = 13.5 Mg/m³
Relative energy among the computed polymorphs = 0.0 meV per atom
Volume = 20.6 Å³/atom
ΔH_f (0 K) = -432.0 meV per atom

Material: SmGa3Au
Method: DFT, PBE-GGA
State: relaxed

a b c (Å): 4.406 8.382 10.966
angles (deg): 90.00 90.00 90.00
Atoms (fractional coordinates):
Ga 0.750 0.418 0.894
Ga 0.250 0.887 0.198
Ga 0.250 0.387 0.302
Ga 0.750 0.613 0.698
Ga 0.750 0.918 0.606
Ga 0.250 0.895 0.827
Ga 0.250 0.395 0.673
Ga 0.750 0.113 0.802
Ga 0.750 0.605 0.327
Ga 0.250 0.082 0.394
Ga 0.250 0.582 0.106
Ga 0.750 0.105 0.173
Au 0.750 0.410 0.143
Au 0.250 0.590 0.857
Au 0.250 0.090 0.643
Au 0.750 0.910 0.357
Sm 0.250 0.201 0.989
Sm 0.750 0.799 0.011
Sm 0.250 0.701 0.511
Sm 0.750 0.299 0.489

Summary:
Space group = Pnma (62)
Mass density = 9.1 Mg/m³
Relative energy among the computed polymorphs = 74.2 meV per atom
Volume = 20.2 Å³/atom
ΔH_f (0 K) = -508.7 meV per atom

Material: SmGaAu2
Method: DFT, PBE-GGA
State: relaxed

a b c (Å): 5.596 7.214 8.278
angles (deg): 90.00 90.00 90.00
Atoms (fractional coordinates):
Sm 0.147 0.250 0.555
Sm 0.853 0.750 0.445
Sm 0.647 0.750 0.945
Sm 0.353 0.250 0.055
Au 0.119 0.954 0.818
Au 0.381 0.546 0.318
Au 0.381 0.954 0.318
Au 0.881 0.046 0.182
Au 0.119 0.546 0.818
Au 0.881 0.454 0.182
Au 0.619 0.454 0.682
Au 0.619 0.046 0.682
Ga 0.854 0.250 0.894
Ga 0.354 0.750 0.606
Ga 0.646 0.250 0.394
Ga 0.146 0.750 0.106

Summary:
Space group = Pnma (62)
Mass density = 12.2 Mg/m³
Volume = 20.9 Å³/atom
ΔH_f (0 K) = -679.1 meV per atom

Material: Sm3Ga2Au7
Method: DFT, PBE-GGA
State: relaxed

a b c (Å): 4.266 4.266 14.638
angles (deg): 98.38 98.38 90.00
Atoms (fractional coordinates):
Au 0.580 0.080 0.159
Au 0.420 0.920 0.841
Au 0.920 0.420 0.841
Au 0.778 0.778 0.555
Au 0.000 0.000 0.000
Au 0.080 0.580 0.159
Au 0.222 0.222 0.445
Sm 0.673 0.673 0.347
Sm 0.500 0.500 0.000
Sm 0.327 0.327 0.653
Ga 0.132 0.132 0.265
Ga 0.868 0.868 0.735

Summary:
Space group = I4/mmm (139)
Mass density = 12.5 Mg/m³
Volume = 21.7 Å³/atom
ΔH_f (0 K) = -565.3 meV per atom

Material: Sm6Ga2Au
Method: DFT, PBE-GGA
State: relaxed

a b c (Å): 8.710 8.710 8.710
angles (deg): 106.64 111.34 110.47
Atoms (fractional coordinates):
Sm 0.806 0.255 0.061
Sm 0.093 0.268 0.825
Sm 0.806 0.745 0.552
Sm 0.194 0.255 0.448
Sm 0.194 0.745 0.939
Sm 0.292 0.619 0.327
Sm 0.708 0.035 0.327
Sm 0.442 0.268 0.175
Sm 0.907 0.732 0.175
Sm 0.558 0.732 0.825
Sm 0.708 0.381 0.673
Sm 0.292 0.965 0.673
Au 0.000 0.000 0.000
Au 0.000 0.500 0.500
Ga 0.500 0.377 0.877
Ga 0.358 0.000 0.358
Ga 0.642 0.000 0.642
Ga 0.500 0.623 0.123

Summary:
Space group = Immm (71)
Mass density = 8.1 Mg/m³
Relative energy among the computed polymorphs = 0.0 meV per atom
Volume = 28.2 Å³/atom
ΔH_f (0 K) = -426.2 meV per atom

Material: Sm2Ga8Au
Method: DFT, PBE-GGA
State: relaxed

a b c (Å): 4.432 4.432 11.362
angles (deg): 90.00 90.00 90.00
Atoms (fractional coordinates):
Ga 0.500 0.500 0.308
Ga 0.500 0.500 0.692
Ga 0.500 0.000 0.869
Ga 0.500 0.000 0.131
Ga 0.000 0.500 0.500
Ga 0.000 0.500 0.131
Ga 0.000 0.500 0.869
Ga 0.500 0.000 0.500
Sm 0.000 0.000 0.689
Sm 0.000 0.000 0.311
Au 0.000 0.000 0.000

Summary:
Space group = P4/mmm (123)
Mass density = 7.9 Mg/m³
Volume = 20.3 Å³/atom
ΔH_f (0 K) = -430.2 meV per atom